## CrHg3Pb2O8 (PBE with a Hubbard U)

Data for a relaxed structure of CrHg3Pb2O8.

Unit cell a=6.5946 b=22.3994 c=7.1923 alpha=90.00 beta=109.37 gamma=90.00
Closest atoms and distances in Å follow each position.
Space group P2_1/c (No. 14)
Asymmetric unit:
Cr  0.0867  0.1105  0.3649 [4 per cell]  4 O 1.66-1.69
Hg  0.0100  0.0558  0.8257 [4 per cell]  2 O 2.02-2.05
Hg  0.1538  0.2177  0.9004 [4 per cell]  2 O 2.03-2.05
Hg  0.4157  0.6378  0.6269 [4 per cell]  2 O 2.10-2.11
Pb  0.3190  0.7018  0.0691 [4 per cell]  3 O 2.30-2.51
Pb  0.4728  0.5219  0.2408 [4 per cell]  3 O 2.32-2.44
O  0.0840  0.1562  0.5502 [4 per cell]  1 Cr 1.69
O  0.1707  0.6021  0.2795 [4 per cell]  1 Cr 1.68
O  0.1715  0.7245  0.7065 [4 per cell]  1 Hg 2.03
O  0.1897  0.0439  0.4498 [4 per cell]  1 Cr 1.67
O  0.2323  0.1404  0.2399 [4 per cell]  1 Cr 1.66
O  0.3167  0.5669  0.7672 [4 per cell]  2 Hg 2.05-2.10
O  0.3316  0.0422  0.9209 [4 per cell]  1 Hg 2.02
O  0.4830  0.2135  0.9925 [4 per cell]  2 Hg 2.05-2.11

Results
The calculation puts the calculated volume at 17.90 Å³/atom. The uncorrected energy is -4.83 eV/atom.